# 1
SrCa3Ta at its PBEsol-relaxed geometry. Source: the Alexandria database, functional meta-GGA SCAN.

SG = Pm-3m, No. 221
Energy relative to the elements = 0.799 eV per atom
DOS at the Fermi energy = 2.4 states/eV per cell
Energy = -1.674 Ry/atom

Cell lengths 5.7278, 5.7278, 5.7278 Å; angles 90.00, 90.00, 90.00 degrees
With the nearest neighbours (Å) after each atom.
Positions (direct):
Sr  0.0000  0.0000  0.0000  12 Ca 4.05
Ca  0.0000  0.5000  0.5000  2 Ta 2.86
Ca  0.5000  0.0000  0.5000  2 Ta 2.86
Ca  0.5000  0.5000  0.0000  2 Ta 2.86
Ta  0.5000  0.5000  0.5000  6 Ca 2.86

***

# 2
Sr2CaTa at its PBEsol-relaxed geometry. Source: the Alexandria database, functional meta-GGA SCAN.

SG = Pm, No. 6
Energy relative to the elements = 0.891 eV per atom
Polymorph energy (0 for the lowest one) = 0.014 eV per atom
DOS at the Fermi energy = 2.7 states/eV per cell
Energy = -2.154 Ry/atom

Cell lengths 3.4682, 5.5874, 7.1221 Å; angles 90.00, 103.94, 90.00 degrees
With the nearest neighbours (Å) after each atom.
Positions (direct):
Sr  0.0000  0.0000  0.0000  2 Sr 3.47, 3 Ca 3.49-3.87, 4 Ta 3.61-3.62
Sr  0.3354  0.5000  0.6768  2 Sr 3.47, 3 Ta 3.62-3.73, 4 Ca 3.67-3.68
Ca  0.7135  0.0000  0.4399  2 Ta 3.19, 2 Ca 3.47, 2 Sr 3.49-3.51
Ta  0.6095  0.5000  0.2166  2 Ca 3.19, 2 Ta 3.47

***

# 3
Sr2CaTa at its PBEsol-relaxed geometry. Source: the Alexandria database, functional meta-GGA SCAN.

SG = C2/m, No. 12
Energy relative to the elements = 0.976 eV per atom
Polymorph energy (0 for the lowest one) = 0.099 eV per atom
DOS at the Fermi energy = 3.7 states/eV per cell
Energy = -2.148 Ry/atom

Cell lengths 6.6827, 6.6827, 3.4023 Å; angles 98.28, 98.28, 116.59 degrees
With the nearest neighbours (Å) after each atom.
Positions (direct):
Sr  0.0000  0.5000  0.0000  4 Sr 3.40-3.51, 2 Ta 3.52, 2 Ca 3.52
Sr  0.5000  0.0000  0.0000  4 Sr 3.40-3.51, 2 Ta 3.52, 2 Ca 3.52
Ca  0.0000  0.0000  0.5000  2 Ca 3.40, 2 Ta 3.51, 4 Sr 3.52
Ta  0.5000  0.5000  0.5000  2 Ta 3.40, 2 Ca 3.51, 4 Sr 3.52

***

# 4
SrCaTaTi2 at its PBEsol-relaxed geometry. Source: the Alexandria database, functional meta-GGA SCAN.

SG = P4/mmm, No. 123
Energy relative to the elements = 2.117 eV per atom
DOS at the Fermi energy = 5.8 states/eV per cell
Energy = -1.764 Ry/atom

Cell lengths 4.7603, 4.7603, 4.9363 Å; angles 90.00, 90.00, 90.00 degrees
With the nearest neighbours (Å) after each atom.
Positions (direct):
Sr  0.0000  0.0000  0.0000  4 Ti 2.38, 2 Ca 2.47
Ca  0.0000  0.0000  0.5000  2 Sr 2.47
Ta  0.5000  0.5000  0.5000  4 Ca 3.37, 8 Ti 3.43
Ti  0.0000  0.5000  0.0000  2 Sr 2.38
Ti  0.5000  0.0000  0.0000  2 Sr 2.38

***

# 5
Sr2CaYTa at its PBEsol-relaxed geometry. Source: the Alexandria database, functional meta-GGA SCAN.

SG = P4/mmm, No. 123
Energy relative to the elements = 1.103 eV per atom
DOS at the Fermi energy = 4.8 states/eV per cell
Energy = -2.104 Ry/atom

Cell lengths 5.8214, 5.8214, 5.6854 Å; angles 90.00, 90.00, 90.00 degrees
With the nearest neighbours (Å) after each atom.
Positions (direct):
Sr  0.0000  0.5000  0.0000  2 Ta 2.91
Sr  0.5000  0.0000  0.0000  2 Ta 2.91
Ca  0.0000  0.0000  0.5000  2 Ta 2.84
Y  0.5000  0.5000  0.5000  8 Sr 4.07, 4 Ca 4.12
Ta  0.0000  0.0000  0.0000  2 Ca 2.84, 4 Sr 2.91

***

# 6
Sr2CaTc at its PBEsol-relaxed geometry. Source: the Alexandria database, functional meta-GGA SCAN.

SG = I4/mmm, No. 139
Energy relative to the elements = 0.772 eV per atom
DOS at the Fermi energy = 4.4 states/eV per cell
Energy = -1.584 Ry/atom

Cell lengths 5.7368, 5.7368, 5.7368 Å; angles 126.39, 126.39, 79.25 degrees
With the nearest neighbours (Å) after each atom.
Positions (direct):
Sr  0.2500  0.7500  0.5000  4 Tc 3.40, 4 Ca 3.40, 4 Sr 3.66
Sr  0.7500  0.2500  0.5000  4 Tc 3.40, 4 Ca 3.40, 4 Sr 3.66
Ca  0.0000  0.0000  0.0000  8 Sr 3.40, 4 Tc 3.66
Tc  0.5000  0.5000  0.0000  8 Sr 3.40, 4 Ca 3.66

***

# 7
Sr3CaTc at its PBEsol-relaxed geometry. Source: the Alexandria database, functional meta-GGA SCAN.

SG = Pm-3m, No. 221
Energy relative to the elements = 1.557 eV per atom
DOS at the Fermi energy = 3.2 states/eV per cell
Energy = -1.525 Ry/atom

Cell lengths 6.2249, 6.2249, 6.2249 Å; angles 90.00, 90.00, 90.00 degrees
With the nearest neighbours (Å) after each atom.
Positions (direct):
Sr  0.0000  0.0000  0.5000  2 Ca 3.11
Sr  0.0000  0.5000  0.0000  2 Ca 3.11
Sr  0.5000  0.0000  0.0000  2 Ca 3.11
Ca  0.0000  0.0000  0.0000  6 Sr 3.11
Tc  0.5000  0.5000  0.5000  12 Sr 4.40

***

# 8
SrCa3Tc at its PBEsol-relaxed geometry. Source: the Alexandria database, functional meta-GGA SCAN.

SG = Pm-3m, No. 221
Energy relative to the elements = 1.786 eV per atom
DOS at the Fermi energy = 4.5 states/eV per cell
Energy = -1.138 Ry/atom

Cell lengths 5.5735, 5.5735, 5.5735 Å; angles 90.00, 90.00, 90.00 degrees
With the nearest neighbours (Å) after each atom.
Positions (direct):
Sr  0.0000  0.0000  0.0000  6 Ca 2.79
Ca  0.0000  0.0000  0.5000  2 Sr 2.79
Ca  0.0000  0.5000  0.0000  2 Sr 2.79
Ca  0.5000  0.0000  0.0000  2 Sr 2.79
Tc  0.5000  0.5000  0.5000  12 Ca 3.94

***

# 9
SrCaTc at its PBEsol-relaxed geometry. Source: the Alexandria database, functional meta-GGA SCAN.

SG = P3m1, No. 156
Energy relative to the elements = 0.901 eV per atom
DOS at the Fermi energy = 2.1 states/eV per cell
Energy = -1.575 Ry/atom

Cell lengths 5.2474, 5.2474, 3.0116 Å; angles 90.00, 90.00, 120.00 degrees
With the nearest neighbours (Å) after each atom.
Positions (direct):
Sr  0.0000  0.0000  0.0000  2 Sr 3.01, 3 Ca 3.18, 3 Tc 3.27
Ca  0.6667  0.3333  0.6830  2 Ca 3.01, 3 Tc 3.14, 3 Sr 3.18
Tc  0.3333  0.6667  0.4055  2 Tc 3.01, 3 Ca 3.14, 3 Sr 3.27

***

# 10
Sr2CaTe at its PBEsol-relaxed geometry. Source: the Alexandria database, functional meta-GGA SCAN.

SG = P4mm, No. 99
DOS at the Fermi energy = 2.0 states/eV per cell
Energy = -1.738 Ry/atom

Cell lengths 3.9812, 3.9812, 10.0745 Å; angles 90.00, 90.00, 90.00 degrees
With the nearest neighbours (Å) after each atom.
Positions (direct):
Sr  0.0000  0.0000  0.0000  4 Te 3.47, 1 Ca 3.70
Sr  0.5000  0.5000  0.3295  8 Sr 3.98-4.35, 4 Ca 4.15
Ca  0.0000  0.0000  0.6323  4 Te 3.27
Te  0.5000  0.5000  0.7978  4 Ca 3.27, 4 Sr 3.47

***

# 11
Sr2CaTe at its PBEsol-relaxed geometry. Source: the Alexandria database, functional meta-GGA SCAN.

SG = Cmmm, No. 65
DOS at the Fermi energy = 3.1 states/eV per cell
Energy = -1.722 Ry/atom

Cell lengths 6.0157, 6.0157, 4.2575 Å; angles 90.00, 90.00, 104.61 degrees
With the nearest neighbours (Å) after each atom.
Positions (direct):
Sr  0.0000  0.5000  0.0000  2 Sr 3.68, 4 Te 3.68, 4 Ca 3.68
Sr  0.5000  0.0000  0.0000  2 Sr 3.68, 4 Ca 3.68, 4 Te 3.68
Ca  0.0000  0.0000  0.5000  2 Te 3.68, 8 Sr 3.68
Te  0.5000  0.5000  0.5000  2 Ca 3.68, 8 Sr 3.68

***

# 12
SrCa2TlTe at its PBEsol-relaxed geometry. Source: the Alexandria database, functional meta-GGA SCAN.

SG = P4/mmm, No. 123
DOS at the Fermi energy = 5.3 states/eV per cell
Energy = -2.175 Ry/atom

Cell lengths 6.2857, 6.2857, 5.6450 Å; angles 90.00, 90.00, 90.00 degrees
With the nearest neighbours (Å) after each atom.
Positions (direct):
Sr  0.0000  0.0000  0.0000  2 Tl 2.82, 4 Ca 3.14
Ca  0.0000  0.5000  0.0000  2 Sr 3.14
Ca  0.5000  0.0000  0.0000  2 Sr 3.14
Tl  0.0000  0.0000  0.5000  2 Sr 2.82
Te  0.5000  0.5000  0.5000  8 Ca 4.22, 4 Tl 4.44

***

# 13
SrCa2Tl at its PBEsol-relaxed geometry. Source: the Alexandria database, functional meta-GGA SCAN.

SG = Immm, No. 71
Energy relative to the elements = -0.328 eV per atom
Polymorph energy (0 for the lowest one) = 0.000 eV per atom
DOS at the Fermi energy = 3.5 states/eV per cell
Energy = -2.118 Ry/atom

Cell lengths 7.0810, 7.0810, 7.0810 Å; angles 147.38, 130.36, 60.67 degrees
With the nearest neighbours (Å) after each atom.
Positions (direct):
Sr  0.0000  0.0000  0.0000  4 Tl 3.58, 4 Ca 3.89, 2 Sr 3.98
Ca  0.2941  0.7941  0.5000  2 Tl 3.21
Ca  0.7059  0.2059  0.5000  2 Tl 3.21
Tl  0.5000  0.5000  0.0000  4 Ca 3.21, 4 Sr 3.58

***

# 14
SrCa2Tl at its PBEsol-relaxed geometry. Source: the Alexandria database, functional meta-GGA SCAN.

SG = P4/mmm, No. 123
Energy relative to the elements = -0.313 eV per atom
Polymorph energy (0 for the lowest one) = 0.015 eV per atom
DOS at the Fermi energy = 3.1 states/eV per cell
Energy = -2.117 Ry/atom

Cell lengths 3.8717, 3.8717, 9.8088 Å; angles 90.00, 90.00, 90.00 degrees
With the nearest neighbours (Å) after each atom.
Positions (direct):
Sr  0.0000  0.0000  0.0000  4 Sr 3.87, 8 Ca 4.11
Ca  0.5000  0.5000  0.3128  4 Tl 3.30, 1 Ca 3.67
Ca  0.5000  0.5000  0.6872  4 Tl 3.30, 1 Ca 3.67
Tl  0.0000  0.0000  0.5000  8 Ca 3.30

***

# 15
SrCaTl at its PBEsol-relaxed geometry. Source: the Alexandria database, functional meta-GGA SCAN.

SG = F-43m, No. 216
Energy relative to the elements = -0.365 eV per atom
DOS at the Fermi energy = 7.0 states/eV per cell
Energy = -2.582 Ry/atom

Cell lengths 5.4730, 5.4730, 5.4730 Å; angles 60.00, 60.00, 60.00 degrees
With the nearest neighbours (Å) after each atom.
Positions (direct):
Sr  0.0000  0.0000  0.0000  4 Tl 3.35
Ca  0.5000  0.5000  0.5000  4 Tl 3.35
Tl  0.7500  0.7500  0.7500  4 Ca 3.35, 4 Sr 3.35

***

# 16
SrCa2Tl at its PBEsol-relaxed geometry. Source: the Alexandria database, functional meta-GGA SCAN.

SG = Pmmm, No. 47
Energy relative to the elements = -0.262 eV per atom
Polymorph energy (0 for the lowest one) = 0.066 eV per atom
DOS at the Fermi energy = 4.8 states/eV per cell
Energy = -2.113 Ry/atom

Cell lengths 4.6177, 5.3746, 5.4451 Å; angles 90.00, 90.00, 90.00 degrees
With the nearest neighbours (Å) after each atom.
Positions (direct):
Sr  0.0000  0.0000  0.0000  4 Tl 3.54, 8 Ca 3.57-3.83
Ca  0.0000  0.5000  0.5000  4 Ca 3.54, 4 Tl 3.57, 4 Sr 3.83
Ca  0.5000  0.0000  0.5000  4 Ca 3.54, 4 Sr 3.57, 4 Tl 3.83
Tl  0.5000  0.5000  0.0000  4 Sr 3.54, 8 Ca 3.57-3.83

***

# 17
Sr2CaTl2 at its PBEsol-relaxed geometry. Source: the Alexandria database, functional meta-GGA SCAN.

SG = P4/mbm, No. 127
Energy relative to the elements = -0.523 eV per atom
DOS at the Fermi energy = 7.5 states/eV per cell
Energy = -2.963 Ry/atom

Cell lengths 9.0066, 9.0066, 4.2745 Å; angles 90.00, 90.00, 90.00 degrees
With the nearest neighbours (Å) after each atom.
Positions (direct):
Sr  0.1623  0.3377  0.0000  6 Tl 3.35-3.44
Sr  0.3377  0.8377  0.0000  6 Tl 3.35-3.44
Sr  0.6623  0.1623  0.0000  6 Tl 3.35-3.44
Sr  0.8377  0.6623  0.0000  6 Tl 3.35-3.44
Ca  0.0000  0.0000  0.5000  4 Tl 3.50
Ca  0.5000  0.5000  0.5000  4 Tl 3.50
Tl  0.1355  0.6355  0.5000  6 Sr 3.35-3.44, 1 Tl 3.45, 2 Ca 3.50
Tl  0.3645  0.1355  0.5000  6 Sr 3.35-3.44, 1 Tl 3.45, 2 Ca 3.50
Tl  0.6355  0.8645  0.5000  6 Sr 3.35-3.44, 1 Tl 3.45, 2 Ca 3.50
Tl  0.8645  0.3645  0.5000  6 Sr 3.35-3.44, 1 Tl 3.45, 2 Ca 3.50

***

# 18
SrCa2Tl at its PBEsol-relaxed geometry. Source: the Alexandria database, functional meta-GGA SCAN.

SG = P4mm, No. 99
Energy relative to the elements = -0.326 eV per atom
Polymorph energy (0 for the lowest one) = 0.003 eV per atom
DOS at the Fermi energy = 2.6 states/eV per cell
Energy = -2.118 Ry/atom

Cell lengths 3.9096, 3.9096, 9.5665 Å; angles 90.00, 90.00, 90.00 degrees
With the nearest neighbours (Å) after each atom.
Positions (direct):
Sr  0.0000  0.0000  0.0000  4 Tl 3.46, 1 Ca 3.82
Ca  0.0000  0.0000  0.3990  4 Tl 3.26
Ca  0.5000  0.5000  0.6844  8 Ca 3.89-3.91, 4 Sr 4.09
Tl  0.5000  0.5000  0.2179  4 Ca 3.26, 4 Sr 3.46

***

# 19
SrCaTl at its PBEsol-relaxed geometry. Source: the Alexandria database, functional meta-GGA SCAN.

SG = I4mm, No. 107
Energy relative to the elements = -0.445 eV per atom
DOS at the Fermi energy = 2.3 states/eV per cell
Energy = -2.588 Ry/atom

Cell lengths 7.3683, 7.3683, 7.3683 Å; angles 149.04, 149.04, 44.36 degrees
With the nearest neighbours (Å) after each atom.
Positions (direct):
Sr  0.0000  0.0000  0.0000  4 Tl 3.45, 1 Ca 3.77
Ca  0.2766  0.2766  0.0000  4 Tl 3.27
Tl  0.6501  0.6501  0.0000  4 Ca 3.27, 4 Sr 3.45

***

# 20
SrCaTl at its PBEsol-relaxed geometry. Source: the Alexandria database, functional meta-GGA SCAN.

SG = P3m1, No. 156
Energy relative to the elements = -0.262 eV per atom
DOS at the Fermi energy = 2.5 states/eV per cell
Energy = -2.574 Ry/atom

Cell lengths 3.9643, 3.9643, 8.2470 Å; angles 90.00, 90.00, 120.00 degrees
With the nearest neighbours (Å) after each atom.
Positions (direct):
Sr  0.0000  0.0000  0.0000  3 Tl 3.38
Ca  0.6667  0.3333  0.4203  3 Tl 3.24
Tl  0.3333  0.6667  0.6984  3 Ca 3.24, 3 Sr 3.38